[1]
An optimized crystal structure of TbGePd6, computed with PBE.

Cell: 4.090 4.090 7.856 Å, 90.00 90.00 90.00°
Atoms (fractional coordinates):
Tb: 0.000 0.000 0.000
Ge: 0.000 0.000 0.500
Pd: 0.500 0.500 0.000
Pd: 0.500 0.500 0.500
Pd: 0.500 0.000 0.268
Pd: 0.500 0.000 0.732
Pd: 0.000 0.500 0.268
Pd: 0.000 0.500 0.732

Computed properties:
- Raw total energy: -5.67 eV/atom
- Space group: P4/mmm, No. 123
- Excess energy over the best structure of this formula in the dataset: 0.000 eV per atom


[2]
An optimized crystal structure of Tb2Ge2Pd5, computed with PBE.

Cell: 4.229 4.229 9.134 Å, 90.00 90.00 90.00°
Atoms (fractional coordinates):
Tb: 0.000 0.000 0.000
Tb: 0.000 0.000 0.500
Ge: 0.500 0.500 0.134
Ge: 0.500 0.500 0.866
Pd: 0.500 0.000 0.276
Pd: 0.500 0.000 0.724
Pd: 0.000 0.500 0.276
Pd: 0.000 0.500 0.724
Pd: 0.500 0.500 0.500

Computed properties:
- Raw total energy: -5.79 eV/atom
- Space group: P4/mmm, No. 123


[3]
An optimized crystal structure of TbGe3Pd2, computed with PBE.

Cell: 4.534 6.771 8.514 Å, 116.60 105.44 90.00°
Atoms (fractional coordinates):
Tb: 0.130 0.104 0.261
Tb: 0.870 0.896 0.739
Ge: 0.675 0.463 0.351
Ge: 0.038 0.385 0.076
Ge: 0.334 0.141 0.668
Ge: 0.666 0.859 0.332
Ge: 0.962 0.615 0.924
Ge: 0.325 0.537 0.649
Pd: 0.502 0.207 0.003
Pd: 0.498 0.793 0.997
Pd: 0.209 0.712 0.419
Pd: 0.791 0.288 0.581

Computed properties:
- Raw total energy: -5.39 eV/atom
- Space group: C2/m, No. 12


[4]
An optimized crystal structure of Tb2Ge3Pd8, computed with PBE.

Cell: 7.914 5.580 7.017 Å, 113.43 121.59 90.00°
Atoms (fractional coordinates):
Tb: 0.245 0.362 0.723
Tb: 0.755 0.638 0.277
Ge: 0.500 0.000 0.000
Ge: 0.000 0.259 0.000
Ge: 0.000 0.741 0.000
Pd: 0.202 0.710 0.420
Pd: 0.798 0.290 0.580
Pd: 0.895 0.114 0.228
Pd: 0.105 0.886 0.772
Pd: 0.594 0.628 0.759
Pd: 0.594 0.131 0.759
Pd: 0.406 0.869 0.241
Pd: 0.406 0.372 0.241

Computed properties:
- Raw total energy: -5.58 eV/atom
- Space group: C2/m, No. 12


| no. | DFT formation energy (kJ per mole of atoms) |
| --- | --- |
| 1 | -59 |
| 2 | -82 |
| 3 | -56 |
| 4 | -59 |